The following is a DFT calculation (PBE-GGA) of Cs2KSrBr after structural relaxation.

formation energy without anion corrections: -0.55 eV/atom
density of states at the Fermi level: 3.0 states/eV/cell
density: 2.20 g cm⁻³

a = 7.538 Å, b = 7.538 Å, c = 6.283 Å
α = 90.00°, β = 90.00°, γ = 90.00°
Space group P4/mmm (No. 123)
Asymmetric unit:
1 Cs 0.000 0.500 0.000
2 K 0.000 0.000 0.500
3 Sr 0.500 0.500 0.500
4 Br 0.500 0.500 0.000